(1)
Compound: CsGeWO2
Source: Alexandria
Functional: PBE with a Hubbard U
Structure: optimized geometry Values from VASP.

Quantum ESPRESSO input file:
```
&SYSTEM
  ibrav = 0, nat = 5, ntyp = 4
/
ATOMIC_SPECIES
Cs 132.91 Cs.upf
Ge 72.64 Ge.upf
O 16.00 O.upf
W 183.84 W.upf
CELL_PARAMETERS angstrom
4.4178 0.0000 0.0000
0.0000 5.8874 0.0000
0.0000 0.0000 4.4178
ATOMIC_POSITIONS crystal
Cs 0.0000 0.5000 0.0000
Ge 0.0000 0.0000 0.0000
O 0.0000 0.0000 0.5000
O 0.5000 0.0000 0.0000
W 0.5000 0.5000 0.5000
```

Properties
The value obtained for the density is 6.09 g/cm3. For the energy, the calculation gives -17.84 eV for the cell shown. The crystal system is tetragonal.

(2)
Compound: NaMg2WO
Source: Alexandria
Functional: PBE with a Hubbard U
Structure: optimized geometry Values from VASP.

Quantum ESPRESSO input file:
```
&SYSTEM
  ibrav = 0, nat = 5, ntyp = 4
/
ATOMIC_SPECIES
Na 22.99 Na.upf
Mg 24.30 Mg.upf
O 16.00 O.upf
W 183.84 W.upf
CELL_PARAMETERS angstrom
-5.9093 0.3209 0.2674
-0.2136 -0.7884 -3.7755
-0.2591 -5.7905 1.2238
ATOMIC_POSITIONS crystal
Na 0.5000 0.5000 0.5000
Mg 0.0000 0.0000 0.5000
Mg 0.5000 0.0000 0.0000
O 0.0000 0.5000 0.0000
W 0.0000 0.0000 0.0000
```

Properties
The value obtained for the density is 3.32 g/cm3. For the energy, the calculation gives -16.37 eV for the cell shown. The crystal system is tetragonal.